(1)
Compound: BaNaNb
Source: Alexandria
Functional: PBE
Structure: relaxed

Properties
E_form, meV per atom: 497.7
Total moment, μB per formula unit: 0.0
Crystal system: monoclinic
Space group: Cm, No. 8
Distance to the lowest polymorph of the same formula, eV per atom: 0.162

Cell lengths 4.471, 4.471, 14.589 Å; angles 98.84, 98.84, 62.78 degrees
Atoms (fractional coordinates):
Ba: 0.000 0.000 0.000
Ba: 0.118 0.118 0.341
Na: 0.276 0.276 0.757
Na: 0.566 0.566 0.587
Nb: 0.400 0.400 0.171
Nb: 0.717 0.717 0.171



(2)
Compound: SmHoAlCu
Source: Alexandria
Functional: PBE
Structure: relaxed

Properties
E_form, meV per atom: -257.8
Total moment, μB per formula unit: 0.0
Crystal system: cubic
Space group: F-43m, No. 216

Cell lengths 5.087, 5.087, 5.087 Å; angles 60.00, 60.00, 60.00 degrees
Atoms (fractional coordinates):
Sm: 0.000 0.000 0.000
Ho: 0.500 0.500 0.500
Al: 0.250 0.250 0.250
Cu: 0.750 0.750 0.750



(3)
Compound: SrAs2Pd
Source: Alexandria
Functional: PBE
Structure: relaxed

Properties
E_form, meV per atom: -646.1
Total moment, μB per formula unit: 0.0
Crystal system: tetragonal
Space group: P4_1, No. 76

Cell lengths 4.742, 4.742, 18.337 Å; angles 90.00, 90.00, 90.00 degrees
Atoms (fractional coordinates):
Sr: 0.036 0.065 0.000
Sr: 0.065 0.964 0.750
Sr: 0.935 0.036 0.250
Sr: 0.964 0.935 0.500
As: 0.126 0.445 0.380
As: 0.415 0.555 0.240
As: 0.445 0.415 0.490
As: 0.445 0.874 0.130
As: 0.555 0.126 0.630
As: 0.555 0.585 0.990
As: 0.585 0.445 0.740
As: 0.874 0.555 0.880
Pd: 0.370 0.417 0.866
Pd: 0.417 0.630 0.616
Pd: 0.583 0.370 0.116
Pd: 0.630 0.583 0.366



(4)
Compound: Ca2MgHPt
Source: Alexandria
Functional: PBE
Structure: relaxed

Properties
Total moment, μB per formula unit: 0.0
VASP energy, eV per cell: -17.34
Crystal system: tetragonal
Space group: P4/mmm, No. 123

Cell lengths 4.769, 4.769, 4.160 Å; angles 90.00, 90.00, 90.00 degrees
Atoms (fractional coordinates):
Ca: 0.000 0.500 0.000
Ca: 0.500 0.000 0.000
Mg: 0.000 0.000 0.500
H: 0.000 0.000 0.000
Pt: 0.500 0.500 0.500



(5)
Compound: CeCdNiAu
Source: Alexandria
Functional: PBE
Structure: relaxed

Properties
E_form, meV per atom: -332.6
Total moment, μB per formula unit: 0.3
Crystal system: cubic
Space group: F-43m, No. 216

Cell lengths 4.867, 4.867, 4.867 Å; angles 60.00, 60.00, 60.00 degrees
Atoms (fractional coordinates):
Ce: 0.000 0.000 0.000
Cd: 0.500 0.500 0.500
Ni: 0.250 0.250 0.250
Au: 0.750 0.750 0.750



(6)
Compound: Tb4Er4Tm3
Source: Alexandria
Functional: PBE
Structure: relaxed

Properties
E_form, meV per atom: 63.7
Total moment, μB per formula unit: 0.0
Crystal system: triclinic
Space group: P-1, No. 2
Distance to the lowest polymorph of the same formula, eV per atom: 0.000

Cell lengths 3.482, 5.539, 17.831 Å; angles 81.10, 84.41, 89.99 degrees
Atoms (fractional coordinates):
Tb: 0.090 0.090 0.320
Tb: 0.233 0.733 0.034
Tb: 0.767 0.267 0.966
Tb: 0.910 0.910 0.680
Er: 0.045 0.545 0.409
Er: 0.179 0.180 0.140
Er: 0.821 0.820 0.860
Er: 0.955 0.455 0.591
Tm: 0.364 0.364 0.772
Tm: 0.500 0.000 0.500
Tm: 0.636 0.636 0.228



(7)
Compound: Ac4Eu2N
Source: Alexandria
Functional: PBE
Structure: relaxed

Properties
Total moment, μB per formula unit: 15.1
Crystal system: tetragonal
Space group: I4/mmm, No. 139
E_form (uncorrected), eV/f.u.: -1.152

Cell lengths 10.149, 10.149, 10.149 Å; angles 148.64, 148.64, 44.93 degrees
Atoms (fractional coordinates):
Ac: 0.000 0.500 0.500
Ac: 0.133 0.133 0.000
Ac: 0.500 0.000 0.500
Ac: 0.867 0.867 0.000
Eu: 0.340 0.340 0.000
Eu: 0.660 0.660 0.000
N: 0.000 0.000 0.000



(8)
Compound: SrIn3
Source: Alexandria
Functional: PBE
Structure: relaxed

Properties
E_form, meV per atom: -321.5
Total moment, μB per formula unit: 0.0
Crystal system: orthorhombic
Space group: Pnma, No. 62

Cell lengths 7.897, 4.998, 12.085 Å; angles 90.00, 90.00, 90.00 degrees
Atoms (fractional coordinates):
Sr: 0.248 0.250 0.168
Sr: 0.252 0.750 0.668
Sr: 0.748 0.250 0.332
Sr: 0.752 0.750 0.832
In: 0.051 0.250 0.851
In: 0.052 0.750 0.397
In: 0.211 0.750 0.957
In: 0.289 0.250 0.457
In: 0.448 0.250 0.897
In: 0.449 0.750 0.351
In: 0.551 0.250 0.649
In: 0.552 0.750 0.103
In: 0.711 0.750 0.543
In: 0.789 0.250 0.043
In: 0.948 0.250 0.603
In: 0.949 0.750 0.149



(9)
Compound: PaCuTc2
Source: Alexandria
Functional: PBE
Structure: relaxed

Properties
E_form, meV per atom: -90.2
Total moment, μB per formula unit: 0.0
Crystal system: tetragonal
Space group: P4/mmm, No. 123
Distance to the lowest polymorph of the same formula, eV per atom: 0.000

Cell lengths 4.179, 4.179, 3.783 Å; angles 90.00, 90.00, 90.00 degrees
Atoms (fractional coordinates):
Pa: 0.000 0.000 0.000
Cu: 0.500 0.500 0.000
Tc: 0.000 0.500 0.500
Tc: 0.500 0.000 0.500



(10)
Compound: Si2IrSe
Source: Alexandria
Functional: PBE
Structure: relaxed

Properties
Total moment, μB per formula unit: 0.0
Crystal system: orthorhombic
Space group: Pmm2, No. 25
E_form (uncorrected), eV/f.u.: 0.723

Cell lengths 2.799, 3.456, 7.298 Å; angles 90.00, 90.00, 90.00 degrees
Atoms (fractional coordinates):
Si: 0.000 0.000 0.000
Si: 0.500 0.500 0.198
Ir: 0.000 0.000 0.352
Se: 0.500 0.500 0.610